(1)
Compound: MoH3Cl
Source: the Alexandria database
Functional: GGA-PBE
Structure: optimized geometry

Structure (POSCAR):
```
MoH3Cl
1.0
3.720 0.000 0.000
0.000 3.720 0.000
0.000 0.000 3.720
Mo H Cl
1 3 1
direct
0.000 0.000 0.000 Mo
0.000 0.000 0.500 H
0.000 0.500 0.000 H
0.500 0.000 0.000 H
0.500 0.500 0.500 Cl
```

Calculated values
uncorrected energy	-3.9447	eV/atom
crystal system	cubic

(2)
Compound: MoH2Cl2
Source: the Alexandria database
Functional: GGA-PBE
Structure: optimized geometry

Structure (POSCAR):
```
MoH2Cl2
1.0
5.588 0.000 0.000
0.000 5.588 0.000
0.000 0.000 4.102
Mo H Cl
2 4 4
direct
0.000 0.000 0.000 Mo
0.500 0.500 0.000 Mo
0.188 0.312 0.000 H
0.312 0.812 0.000 H
0.688 0.188 0.000 H
0.812 0.688 0.000 H
0.187 0.687 0.500 Cl
0.313 0.187 0.500 Cl
0.687 0.813 0.500 Cl
0.813 0.313 0.500 Cl
```

Calculated values
uncorrected energy	-3.6234	eV/atom
crystal system	tetragonal

(3)
Compound: MoHCl2
Source: the Alexandria database
Functional: GGA-PBE
Structure: optimized geometry

Structure (POSCAR):
```
MoHCl2
1.0
-2.610 2.610 4.531
2.610 -2.610 4.531
2.610 2.610 -4.531
Mo H Cl
2 2 4
direct
0.000 0.000 0.000 Mo
0.750 0.250 0.500 Mo
0.250 0.750 0.500 H
0.500 0.500 0.000 H
0.190 0.625 0.065 Cl
0.375 0.440 0.565 Cl
0.560 0.125 0.935 Cl
0.875 0.810 0.435 Cl
```

Calculated values
uncorrected energy	-3.9275	eV/atom
crystal system	tetragonal

(4)
Compound: MoHCl2
Source: the Alexandria database
Functional: GGA-PBE
Structure: optimized geometry

Structure (POSCAR):
```
MoHCl2
1.0
1.584 0.915 9.283
-1.584 0.915 9.283
0.000 -1.829 9.283
Mo H Cl
1 1 2
direct
0.000 0.000 0.000 Mo
0.500 0.500 0.500 H
0.394 0.394 0.394 Cl
0.606 0.606 0.606 Cl
```

Calculated values
uncorrected energy	-4.2415	eV/atom
crystal system	trigonal

(5)
Compound: MoH3Cl6
Source: the Alexandria database
Functional: GGA-PBE
Structure: optimized geometry

Structure (POSCAR):
```
MoH3Cl6
1.0
8.065 0.000 0.000
-1.573 7.916 0.000
-1.585 -1.926 7.713
Mo H Cl
2 6 12
direct
0.000 0.000 0.000 Mo
0.500 0.500 0.500 Mo
0.079 0.340 0.326 H
0.327 0.079 0.340 H
0.341 0.327 0.081 H
0.659 0.673 0.919 H
0.673 0.921 0.660 H
0.921 0.660 0.674 H
0.053 0.841 0.731 Cl
0.160 0.271 0.949 Cl
0.202 0.529 0.389 Cl
0.271 0.947 0.160 Cl
0.388 0.202 0.528 Cl
0.471 0.611 0.796 Cl
0.529 0.389 0.204 Cl
0.612 0.798 0.472 Cl
0.729 0.053 0.840 Cl
0.798 0.471 0.611 Cl
0.840 0.729 0.051 Cl
0.947 0.159 0.269 Cl
```

Calculated values
uncorrected energy	-3.7982	eV/atom
crystal system	triclinic

(6)
Compound: MoH6Cl12
Source: the Alexandria database
Functional: GGA-PBE
Structure: optimized geometry

Structure (POSCAR):
```
MoH6Cl12
1.0
9.336 5.390 1.994
-9.336 5.390 1.994
0.000 -10.781 1.994
Mo H Cl
1 6 12
direct
0.000 0.000 0.000 Mo
0.136 0.834 0.259 H
0.166 0.741 0.864 H
0.259 0.136 0.834 H
0.741 0.864 0.166 H
0.834 0.259 0.136 H
0.864 0.166 0.741 H
0.002 0.520 0.717 Cl
0.133 0.207 0.333 Cl
0.207 0.333 0.133 Cl
0.283 0.998 0.480 Cl
0.333 0.133 0.207 Cl
0.480 0.283 0.998 Cl
0.520 0.717 0.002 Cl
0.667 0.867 0.793 Cl
0.717 0.002 0.520 Cl
0.793 0.667 0.867 Cl
0.867 0.793 0.667 Cl
0.998 0.480 0.283 Cl
```

Calculated values
uncorrected energy	-3.3629	eV/atom
crystal system	trigonal

(7)
Compound: Mo2HCl
Source: the Alexandria database
Functional: GGA-PBE
Structure: optimized geometry

Structure (POSCAR):
```
Mo2HCl
1.0
0.000 2.904 2.904
2.904 0.000 2.904
2.904 2.904 0.000
Mo H Cl
2 1 1
direct
0.250 0.250 0.250 Mo
0.750 0.750 0.750 Mo
0.000 0.000 0.000 H
0.500 0.500 0.500 Cl
```

Calculated values
uncorrected energy	-5.5769	eV/atom
crystal system	cubic

(8)
Compound: Na2MoHCl
Source: the Alexandria database
Functional: GGA-PBE
Structure: optimized geometry

Structure (POSCAR):
```
Na2MoHCl
1.0
5.948 0.000 0.000
0.000 5.948 0.000
0.000 0.000 3.645
Na Mo H Cl
2 1 1 1
direct
0.000 0.500 0.000 Na
0.500 0.000 0.000 Na
0.000 0.000 0.000 Mo
0.000 0.000 0.500 H
0.500 0.500 0.500 Cl
```

Calculated values
uncorrected energy	-3.3190	eV/atom
crystal system	tetragonal